1.
La6Os2Br3Cl | PBE-GGA | relaxed

Computed properties:
- volume (Å³/atom) = 30.8
- space group = C2/m, No. 12
- uncorrected formation energy (eV per atom) = -1.107
- total DFT energy (no corrections) (eV per formula unit) = -72.18

abc: 7.3636 7.3636 8.2374
angles: 98.49 98.49 119.98
With the nearest neighbours (Å) after each atom.
Fractional coordinates of all 12 atoms:
La 0.0729 0.4325 0.7986  2 Os 2.84-2.85, 1 Cl 3.09
La 0.2068 0.2068 0.2005  2 Os 2.85, 1 Cl 3.08
La 0.4325 0.0729 0.7986  2 Os 2.84-2.85, 1 Cl 3.09
La 0.5675 0.9271 0.2014  2 Os 2.84-2.85, 1 Cl 3.09
La 0.7932 0.7932 0.7995  2 Os 2.85, 1 Cl 3.08
La 0.9271 0.5675 0.2014  2 Os 2.84-2.85, 1 Cl 3.09
Os 0.1669 0.8331 0.0000  6 La 2.84-2.85
Os 0.8331 0.1669 0.0000  6 La 2.84-2.85
Br 0.0000 0.0000 0.5000  6 La 3.26-3.47
Br 0.3359 0.6641 0.5000  6 La 3.28-3.47
Br 0.6641 0.3359 0.5000  6 La 3.28-3.47
Cl 0.5000 0.5000 0.0000  6 La 3.08-3.09

2.
Nb2NiPbAu | PBE-GGA | relaxed

Computed properties:
- volume (Å³/atom) = 20.8
- formation enthalpy at 0 K (eV per atom) = 0.75
- space group = P4/mmm, No. 123
- total DFT energy (no corrections) (eV per formula unit) = -29.15

abc: 4.6852 4.6852 4.7492
angles: 90.00 90.00 90.00
With the nearest neighbours (Å) after each atom.
Fractional coordinates of all 5 atoms:
Nb 0.0000 0.5000 0.0000  2 Ni 2.34
Nb 0.5000 0.0000 0.0000  2 Ni 2.34
Ni 0.0000 0.0000 0.0000  4 Nb 2.34, 2 Pb 2.37
Pb 0.0000 0.0000 0.5000  2 Ni 2.37
Au 0.5000 0.5000 0.5000  4 Pb 3.31, 8 Nb 3.34